Entry 1:
## CrCdPt2 (PBEsol)

Data for a relaxed CrCdPt2 crystal.

Cell lengths 2.8363, 3.9153, 5.6350 Å; angles 90.00, 90.00, 90.00 degrees
Closest atoms and distances in Å follow each position.
Fractional positions:
Cr: 0.0000 0.0000 0.0000  5 Pt 2.63-2.65, 2 Cr 2.84, 4 Cd 2.93
Cd: 0.5000 0.5000 0.7068  6 Pt 2.74-2.90, 2 Cd 2.84, 4 Cr 2.93
Pt: 0.0000 0.0000 0.4664  1 Cr 2.63, 4 Cd 2.77, 6 Pt 2.84-2.87
Pt: 0.5000 0.5000 0.1928  4 Cr 2.65, 2 Cd 2.74-2.90, 6 Pt 2.84-2.87

Computed properties:
* ΔE_f: -3.0 kJ per mole of atoms
* total energy: -6.373 eV/atom

=====

Entry 2:
## AgIO3 (PBEsol)

Data for a relaxed AgIO3 crystal.

Cell lengths 5.6422, 5.8388, 17.3231 Å; angles 90.00, 90.00, 90.00 degrees
Closest atoms and distances in Å follow each position.
Fractional positions:
Ag: 0.0246 0.2121 0.0362  4 O 2.26-2.50
Ag: 0.0246 0.2879 0.5362  4 O 2.26-2.50
Ag: 0.4754 0.7121 0.0362  4 O 2.26-2.50
Ag: 0.4754 0.7879 0.5362  4 O 2.26-2.50
Ag: 0.5246 0.2121 0.4638  4 O 2.26-2.50
Ag: 0.5246 0.2879 0.9638  4 O 2.26-2.50
Ag: 0.9754 0.7121 0.4638  4 O 2.26-2.50
Ag: 0.9754 0.7879 0.9638  4 O 2.26-2.50
I: 0.0064 0.1919 0.3333  3 O 1.85-1.87
I: 0.0064 0.3081 0.8333  3 O 1.85-1.87
I: 0.4936 0.6919 0.3333  3 O 1.85-1.87
I: 0.4936 0.8081 0.8333  3 O 1.85-1.87
I: 0.5064 0.1919 0.1667  3 O 1.85-1.87
I: 0.5064 0.3081 0.6667  3 O 1.85-1.87
I: 0.9936 0.6919 0.1667  3 O 1.85-1.87
I: 0.9936 0.8081 0.6667  3 O 1.85-1.87
O: 0.1298 0.0998 0.4277  1 I 1.86
O: 0.1298 0.4002 0.9277  1 I 1.86
O: 0.1572 0.5626 0.6222  1 I 1.87
O: 0.1572 0.9374 0.1222  1 I 1.87
O: 0.2412 0.6486 0.7911  1 I 1.85
O: 0.2412 0.8514 0.2911  1 I 1.85
O: 0.2589 0.1486 0.7911  1 I 1.85
O: 0.2589 0.3514 0.2911  1 I 1.85
O: 0.3428 0.0626 0.6222  1 I 1.87
O: 0.3428 0.4374 0.1222  1 I 1.87
O: 0.3702 0.5998 0.4277  1 I 1.86
O: 0.3702 0.9002 0.9277  1 I 1.86
O: 0.6298 0.0998 0.0723  1 I 1.86
O: 0.6298 0.4002 0.5723  1 I 1.86
O: 0.6572 0.5626 0.8778  1 I 1.87
O: 0.6572 0.9374 0.3778  1 I 1.87
O: 0.7412 0.6486 0.7089  1 I 1.85
O: 0.7412 0.8514 0.2089  1 I 1.85
O: 0.7588 0.1486 0.7089  1 I 1.85
O: 0.7588 0.3514 0.2089  1 I 1.85
O: 0.8428 0.0626 0.8778  1 I 1.87
O: 0.8428 0.4374 0.3778  1 I 1.87
O: 0.8702 0.5998 0.0723  1 I 1.86
O: 0.8702 0.9002 0.5723  1 I 1.86

Computed properties:
* formation energy (no corrections): -293.6 meV/atom
* total energy: -4.459 eV/atom

=====

Entry 3:
## MgZn2P (PBEsol)

Data for a relaxed MgZn2P crystal.

Cell lengths 4.9717, 4.9717, 4.9717 Å; angles 134.75, 132.81, 67.45 degrees
Closest atoms and distances in Å follow each position.
Fractional positions:
Mg: 0.0000 0.0000 0.0000  8 Zn 2.76-2.86, 4 P 2.82-2.86
Zn: 0.4860 0.4860 0.0000  4 P 2.73-2.96, 4 Mg 2.76, 4 Zn 2.83-2.86
Zn: 0.7425 0.2425 0.5000  4 P 2.76, 4 Mg 2.83-2.86, 4 Zn 2.83-2.86
P: 0.2508 0.7508 0.5000  8 Zn 2.73-2.96, 4 Mg 2.82-2.86

Computed properties:
* ΔE_f: 1.4 kJ per mole of atoms
* total energy: -2.654 eV/atom

=====

Entry 4:
## MgTl (PBEsol)

Data for a relaxed MgTl crystal.

Cell lengths 5.2193, 5.2193, 5.2193 Å; angles 60.16, 60.16, 60.16 degrees
Closest atoms and distances in Å follow each position.
Fractional positions:
Mg: 0.1250 0.1250 0.1250  4 Tl 3.19-3.20, 4 Mg 3.19-3.20
Mg: 0.8750 0.8750 0.8750  4 Tl 3.19-3.20, 4 Mg 3.19-3.20
Tl: 0.3748 0.3748 0.3748  4 Mg 3.19-3.20, 4 Tl 3.20
Tl: 0.6252 0.6252 0.6252  4 Mg 3.19-3.20, 4 Tl 3.20

Computed properties:
* ΔE_f: 3.9 kJ per mole of atoms
* total energy: -2.134 eV/atom

=====

Entry 5:
## RbZr2TiCr (PBEsol)

Data for a relaxed RbZr2TiCr crystal.

Cell lengths 4.9462, 4.9462, 4.4746 Å; angles 90.00, 90.00, 90.00 degrees
Closest atoms and distances in Å follow each position.
Fractional positions:
Rb: 0.0000 0.0000 0.0000  2 Cr 2.24, 4 Zr 2.47
Zr: 0.0000 0.5000 0.0000  2 Rb 2.47
Zr: 0.5000 0.0000 0.0000  2 Rb 2.47
Ti: 0.5000 0.5000 0.5000  8 Zr 3.33, 4 Cr 3.50
Cr: 0.0000 0.0000 0.5000  2 Rb 2.24

Computed properties:
* ΔE_f: 209.5 kJ per mole of atoms
* total energy: -5.383 eV/atom

=====

Entry 6:
## In2MoAs (PBEsol)

Data for a relaxed In2MoAs crystal.

Cell lengths 3.6706, 5.7220, 5.7220 Å; angles 41.19, 90.00, 90.00 degrees
Closest atoms and distances in Å follow each position.
Fractional positions:
In: 0.0000 0.0000 0.0000  4 As 2.83, 1 Mo 2.88
In: 0.5000 0.3087 0.3087  1 As 2.82, 4 Mo 2.85
Mo: 0.0000 0.7314 0.7314  2 As 2.51
As: 0.5000 0.5717 0.5717  2 Mo 2.51

Computed properties:
* ΔE_f: 9.6 kJ per mole of atoms
* total energy: -5.610 eV/atom

=====

Entry 7:
## GePtS2Cl (PBEsol)

Data for a relaxed GePtS2Cl crystal.

Cell lengths 4.6695, 4.6695, 4.6993 Å; angles 90.00, 90.00, 90.00 degrees
Closest atoms and distances in Å follow each position.
Fractional positions:
Ge: 0.0000 0.0000 0.0000  4 Cl 3.30, 8 S 3.31
Pt: 0.5000 0.5000 0.5000  4 S 2.33, 2 Cl 2.35
S: 0.0000 0.5000 0.5000  2 Pt 2.33
S: 0.5000 0.0000 0.5000  2 Pt 2.33
Cl: 0.5000 0.5000 0.0000  2 Pt 2.35

Computed properties:
* formation energy (no corrections): 252.5 meV/atom
* total energy: -4.283 eV/atom

=====

Entry 8:
## BaReP2 (PBEsol)

Data for a relaxed BaReP2 crystal.

Cell lengths 4.4277, 6.1327, 6.1327 Å; angles 36.50, 90.00, 90.00 degrees
Closest atoms and distances in Å follow each position.
Fractional positions:
Ba: 0.0000 0.0000 0.0000  7 P 3.19-3.33
Re: 0.5000 0.7566 0.7566  4 P 2.26-2.29
P: 0.0000 0.7190 0.7190  2 Re 2.26
P: 0.5000 0.3644 0.3644  2 Re 2.29

Computed properties:
* ΔE_f: -28.8 kJ per mole of atoms
* total energy: -7.065 eV/atom

=====

Please write out number 3 again, unchanged.
## MgZn2P (PBEsol)

Data for a relaxed MgZn2P crystal.

Cell lengths 4.9717, 4.9717, 4.9717 Å; angles 134.75, 132.81, 67.45 degrees
Closest atoms and distances in Å follow each position.
Fractional positions:
Mg: 0.0000 0.0000 0.0000  8 Zn 2.76-2.86, 4 P 2.82-2.86
Zn: 0.4860 0.4860 0.0000  4 P 2.73-2.96, 4 Mg 2.76, 4 Zn 2.83-2.86
Zn: 0.7425 0.2425 0.5000  4 P 2.76, 4 Mg 2.83-2.86, 4 Zn 2.83-2.86
P: 0.2508 0.7508 0.5000  8 Zn 2.73-2.96, 4 Mg 2.82-2.86

Computed properties:
* ΔE_f: 1.4 kJ per mole of atoms
* total energy: -2.654 eV/atom

=====

total energy of number 2 (AgIO3)?
-4.459 eV/atom

=====

The lowest total energy belongs to which entry?
BaReP2